Record 1
A plane-wave DFT calculation with SCAN was carried out for a PBEsol-optimized structure of Cd2In.

extended XYZ file:
```
12
Lattice="9.3551 0.0000 0.0000 0.0000 5.4201 0.0000 0.0000 0.0000 5.3413" Properties=species:S:1:pos:R:3 pbc="T T T"
Cd 1.5866 0.8966 1.3353
Cd 1.5866 4.5235 4.0060
Cd 3.0909 1.8135 4.0060
Cd 3.0909 3.6066 1.3353
Cd 6.2642 1.8135 4.0060
Cd 6.2642 3.6066 1.3353
Cd 7.7685 0.8966 1.3353
Cd 7.7685 4.5235 4.0060
In 0.0000 1.7654 4.0060
In 0.0000 3.6547 1.3353
In 4.6776 0.9447 1.3353
In 4.6776 4.4754 4.0060
```

## Properties
SG: Cmcm, No. 63
ΔE_f in eV per atom: 0.077
Crystal system: orthorhombic

Record 2
A plane-wave DFT calculation with SCAN was carried out for a PBEsol-optimized structure of KAl.

extended XYZ file:
```
4
Lattice="3.5360 0.0000 0.0000 0.0000 4.6714 0.0000 -1.6778 0.0000 8.8674" Properties=species:S:1:pos:R:3 pbc="T T T"
K 0.0008 1.1678 2.5937
K 1.8574 3.5035 6.2737
Al 0.0899 1.1678 8.3052
Al 1.7683 3.5035 0.5622
```

## Properties
ΔE to the lowest computed polymorph in meV per atom: 0
SG: P2_1/m, No. 11
ΔE_f in eV per atom: 0.262
Crystal system: monoclinic

Record 3
A plane-wave DFT calculation with SCAN was carried out for a PBEsol-optimized structure of Sn2HgH.

extended XYZ file:
```
16
Lattice="6.8361 0.0000 0.0000 0.0000 6.8361 0.0000 0.0000 0.0000 6.8361" Properties=species:S:1:pos:R:3 pbc="T T T"
Sn 1.7090 1.7090 1.7090
Sn 1.7090 1.7090 5.1270
Sn 1.7090 5.1270 1.7090
Sn 1.7090 5.1270 5.1270
Sn 5.1270 1.7090 1.7090
Sn 5.1270 1.7090 5.1270
Sn 5.1270 5.1270 1.7090
Sn 5.1270 5.1270 5.1270
Hg 0.0000 0.0000 0.0000
Hg 0.0000 3.4180 3.4180
Hg 3.4180 0.0000 3.4180
Hg 3.4180 3.4180 0.0000
H 0.0000 0.0000 3.4180
H 0.0000 3.4180 0.0000
H 3.4180 0.0000 0.0000
H 3.4180 3.4180 3.4180
```

## Properties
Total energy in eV for the cell shown: -565.7
SG: Fm-3m, No. 225
Crystal system: cubic

Record 4
A plane-wave DFT calculation with SCAN was carried out for a PBEsol-optimized structure of YCoPt2.

extended XYZ file:
```
8
Lattice="4.0109 0.0000 0.0000 0.0000 4.0109 0.0000 0.0000 0.0000 8.0221" Properties=species:S:1:pos:R:3 pbc="T T T"
Y 0.0000 0.0000 0.0000
Y 2.0054 2.0054 4.0110
Co 0.0000 0.0000 4.0110
Co 2.0054 2.0054 0.0000
Pt 0.0000 2.0054 2.0055
Pt 0.0000 2.0054 6.0166
Pt 2.0054 0.0000 2.0055
Pt 2.0054 0.0000 6.0166
```

## Properties
SG: I4/mmm, No. 139
ΔE_f in eV per atom: -0.729
Crystal system: tetragonal

Record 5
A plane-wave DFT calculation with SCAN was carried out for a PBEsol-optimized structure of V2O5.

extended XYZ file:
```
14
Lattice="0.0000 9.9756 2.8073 5.0411 0.0000 2.8073 5.0411 9.9756 0.0000" Properties=species:S:1:pos:R:3 pbc="T T T"
V 5.5290 8.3802 2.8073
V 4.5531 11.5710 2.8073
V 7.0737 13.3680 4.2109
V 8.0496 16.5588 4.2109
O 6.6271 7.5904 1.6673
O 6.3204 3.5785 2.7891
O 5.0411 9.9756 2.2134
O 4.1066 7.3730 3.0709
O 6.2822 8.5663 4.1927
O 3.4550 12.3608 1.6673
O 5.9756 12.5782 3.0709
O 7.5616 14.9634 3.6170
O 3.7999 11.3849 4.1927
O 3.7617 16.3727 2.7891
```

## Properties
SG: Fdd2, No. 43
Energy relative to the elements, uncorrected in eV per formula unit: -16.93
Crystal system: orthorhombic

Record 6
A plane-wave DFT calculation with SCAN was carried out for a PBEsol-optimized structure of FeCu2HgMo.

extended XYZ file:
```
5
Lattice="4.3101 0.0000 0.0000 0.0000 4.3101 0.0000 0.0000 0.0000 4.7409" Properties=species:S:1:pos:R:3 pbc="T T T"
Fe 0.0000 0.0000 0.0000
Cu 0.0000 2.1550 0.0000
Cu 2.1550 0.0000 0.0000
Hg 0.0000 0.0000 2.3705
Mo 2.1550 2.1550 2.3705
```

## Properties
SG: P4/mmm, No. 123
ΔE_f in eV per atom: 1.294
Crystal system: tetragonal

Record 7
A plane-wave DFT calculation with SCAN was carried out for a PBEsol-optimized structure of ReNiIr2.

extended XYZ file:
```
8
Lattice="3.7915 0.0000 0.0000 0.0000 3.7915 0.0000 0.0000 0.0000 7.4246" Properties=species:S:1:pos:R:3 pbc="T T T"
Re 0.0000 0.0000 0.0000
Re 1.8957 1.8957 3.7123
Ni 0.0000 0.0000 3.7123
Ni 1.8957 1.8957 0.0000
Ir 0.0000 1.8957 1.8561
Ir 0.0000 1.8957 5.5684
Ir 1.8957 0.0000 1.8561
Ir 1.8957 0.0000 5.5684
```

## Properties
ΔE to the lowest computed polymorph in meV per atom: 22
SG: I4/mmm, No. 139
ΔE_f in eV per atom: -0.135
Crystal system: tetragonal

Record 8
A plane-wave DFT calculation with SCAN was carried out for a PBEsol-optimized structure of TaCrIr2.

extended XYZ file:
```
8
Lattice="8.9744 0.0000 0.0000 0.0000 2.7614 0.0000 -0.7813 0.0000 4.6417" Properties=species:S:1:pos:R:3 pbc="T T T"
Ta 0.0000 0.0000 0.0000
Ta 4.4872 1.3807 0.0000
Cr 1.5857 0.0000 3.2382
Cr 6.0729 1.3807 3.2382
Ir 8.5692 1.3807 2.3854
Ir 2.0751 1.3807 1.0609
Ir 4.0821 0.0000 2.3854
Ir 6.5623 0.0000 1.0609
```

## Properties
ΔE to the lowest computed polymorph in meV per atom: 257
SG: Cm, No. 8
ΔE_f in eV per atom: -0.398
Crystal system: monoclinic

Record 9
A plane-wave DFT calculation with SCAN was carried out for a PBEsol-optimized structure of N.

extended XYZ file:
```
3
Lattice="3.4949 0.0000 0.0000 -1.7475 3.0267 0.0000 0.0000 0.0000 3.3303" Properties=species:S:1:pos:R:3 pbc="T T T"
N -0.1880 0.3257 0.5551
N 0.3761 0.0000 2.7753
N 1.5594 2.7010 1.6652
```

## Properties
ΔE to the lowest computed polymorph in meV per atom: 1511
SG: P3_121, No. 152
Energy relative to the elements, uncorrected in eV per formula unit: 1.51
Crystal system: trigonal

Record 10
A plane-wave DFT calculation with SCAN was carried out for a PBEsol-optimized structure of Nb2Ir2Pb.

extended XYZ file:
```
10
Lattice="4.3925 0.0000 0.0000 0.0000 4.3925 0.0000 0.0000 0.0000 10.4049" Properties=species:S:1:pos:R:3 pbc="T T T"
Nb 0.0000 2.1963 2.6012
Nb 0.0000 2.1963 7.8037
Nb 2.1963 0.0000 2.6012
Nb 2.1963 0.0000 7.8037
Ir 0.0000 0.0000 1.2829
Ir 0.0000 0.0000 9.1220
Ir 2.1963 2.1963 3.9196
Ir 2.1963 2.1963 6.4854
Pb 0.0000 0.0000 5.2025
Pb 2.1963 2.1963 0.0000
```

## Properties
SG: I4/mmm, No. 139
ΔE_f in eV per atom: -0.266
Crystal system: tetragonal

Record 11
A plane-wave DFT calculation with SCAN was carried out for a PBEsol-optimized structure of ZnCoIr2.

extended XYZ file:
```
8
Lattice="8.5588 0.0000 0.0000 0.0000 2.6759 0.0000 -0.8292 0.0000 4.5584" Properties=species:S:1:pos:R:3 pbc="T T T"
Zn 0.0000 0.0000 0.0000
Zn 4.2794 1.3380 0.0000
Co -0.4146 1.3380 2.2792
Co 3.8648 0.0000 2.2792
Ir 1.4725 0.0000 3.3868
Ir 1.9777 1.3380 1.1716
Ir 5.7519 1.3380 3.3868
Ir 6.2571 0.0000 1.1716
```

## Properties
SG: C2/m, No. 12
ΔE_f in eV per atom: -0.061
Crystal system: monoclinic

Record 12
A plane-wave DFT calculation with SCAN was carried out for a PBEsol-optimized structure of HfBRh3.

extended XYZ file:
```
5
Lattice="4.0712 0.0000 0.0000 0.0000 4.0712 0.0000 0.0000 0.0000 4.0712" Properties=species:S:1:pos:R:3 pbc="T T T"
Hf 0.0000 0.0000 0.0000
B 2.0356 2.0356 2.0356
Rh 0.0000 2.0356 2.0356
Rh 2.0356 0.0000 2.0356
Rh 2.0356 2.0356 0.0000
```

## Properties
SG: Pm-3m, No. 221
ΔE_f in eV per atom: -0.864
Crystal system: cubic

Record 13
A plane-wave DFT calculation with SCAN was carried out for a PBEsol-optimized structure of SrSc2Os.

extended XYZ file:
```
4
Lattice="3.2498 0.0000 0.0000 0.0000 3.2498 0.0000 0.0000 0.0000 9.2372" Properties=species:S:1:pos:R:3 pbc="T T T"
Sr 0.0000 0.0000 0.0000
Sc 1.6249 1.6249 3.1144
Sc 1.6249 1.6249 6.1228
Os 0.0000 0.0000 4.6186
```

## Properties
ΔE to the lowest computed polymorph in meV per atom: 0
SG: P4/mmm, No. 123
ΔE_f in eV per atom: -0.235
Crystal system: tetragonal

Record 14
A plane-wave DFT calculation with SCAN was carried out for a PBEsol-optimized structure of Li2Bi2P2O9.

extended XYZ file:
```
30
Lattice="5.6764 0.0000 0.0000 0.0000 8.8573 0.0000 -0.5650 0.0000 7.8012" Properties=species:S:1:pos:R:3 pbc="T T T"
Li 0.2656 0.0000 0.5259
Li 0.2745 8.3013 5.1521
Li 4.8369 3.8727 2.6491
Li 4.8459 4.4287 7.2753
Bi 1.8644 4.9371 4.9316
Bi 2.1790 5.8105 0.6519
Bi 2.9325 1.3819 7.1492
Bi 3.2470 0.5085 2.8695
P -0.2872 2.2533 5.1940
P 1.8303 2.8398 1.3385
P 3.2811 7.2685 6.4627
P 5.3986 6.6820 2.6072
O 0.0594 3.5351 4.3942
O 0.3125 7.0874 1.2219
O 0.6208 3.7874 1.3151
O 0.6536 5.4353 6.5679
O 0.9197 5.9781 3.3097
O 0.9047 1.3015 5.3437
O 1.5980 1.3704 0.8825
O 2.5373 2.7821 2.7164
O 2.2469 7.8509 7.5179
O 2.8645 3.4222 0.2833
O 2.5741 7.2107 5.0847
O 3.5134 5.7990 6.9187
O 4.2068 5.7302 2.4575
O 4.1917 1.5494 4.4915
O 4.4578 1.0066 1.2333
O 4.4906 8.2161 6.4860
O 4.7989 2.6587 6.5792
O 5.0520 7.9637 3.4070
```

## Properties
SG: P2_1, No. 4
Energy relative to the elements, uncorrected in eV per formula unit: -31.44
Crystal system: monoclinic

Record 15
A plane-wave DFT calculation with SCAN was carried out for a PBEsol-optimized structure of RbSF5.

extended XYZ file:
```
28
Lattice="9.9441 0.0000 0.0000 0.0000 6.0488 0.0000 0.0000 0.0000 7.6105" Properties=species:S:1:pos:R:3 pbc="T T T"
Rb 1.5726 1.5122 1.1568
Rb 3.3995 4.5366 4.9620
Rb 6.5446 1.5122 2.6485
Rb 8.3715 4.5366 6.4537
S 0.9326 1.5122 4.9637
S 4.0394 4.5366 1.1584
S 5.9047 1.5122 6.4521
S 9.0114 4.5366 2.6468
F 0.7012 0.2601 6.1969
F 0.7012 2.7643 6.1969
F 1.4583 0.2838 3.8274
F 1.4583 2.7406 3.8274
F 2.4680 1.5122 5.4665
F 2.5040 4.5366 1.6613
F 3.5137 3.3082 0.0221
F 3.5137 5.7650 0.0221
F 4.2708 3.2845 2.3917
F 4.2708 5.7888 2.3917
F 5.6732 0.2601 5.2188
F 5.6732 2.7643 5.2188
F 6.4303 0.2838 7.5884
F 6.4303 2.7406 7.5884
F 7.4401 1.5122 5.9492
F 7.4760 4.5366 2.1440
F 8.4858 3.3082 3.7831
F 8.4858 5.7650 3.7831
F 9.2429 3.2845 1.4136
F 9.2429 5.7888 1.4136
```

## Properties
SG: Pnma, No. 62
Energy relative to the elements, uncorrected in eV per formula unit: -14.76
Crystal system: orthorhombic

Record 16
A plane-wave DFT calculation with SCAN was carried out for a PBEsol-optimized structure of TaAgNF2.

extended XYZ file:
```
5
Lattice="4.0017 0.0000 0.0000 0.0000 4.0017 0.0000 0.0000 0.0000 4.2884" Properties=species:S:1:pos:R:3 pbc="T T T"
Ta 0.0000 0.0000 0.0000
Ag 2.0008 2.0008 2.1442
N 2.0008 2.0008 0.0000
F 0.0000 2.0008 2.1442
F 2.0008 0.0000 2.1442
```

## Properties
SG: P4/mmm, No. 123
Energy relative to the elements, uncorrected in eV per formula unit: 3.06
Crystal system: tetragonal

Record 17
A plane-wave DFT calculation with SCAN was carried out for a PBEsol-optimized structure of BaNa4Ti2Si12O30.

extended XYZ file:
```
49
Lattice="5.0669 -8.6205 0.0000 5.0669 8.6205 0.0000 -0.3830 0.0000 7.2118" Properties=species:S:1:pos:R:3 pbc="T T T"
Ba 0.0000 0.0000 0.0000
Na 4.8754 4.0307 3.6059
Na 2.5714 0.0000 3.4553
Na 7.1794 0.0000 3.7565
Na 4.8754 -4.0307 3.6059
Ti 4.8754 7.2600 3.6059
Ti 4.8754 -7.2600 3.6059
Si 2.1486 2.6632 1.3915
Si 2.1771 2.9138 5.4820
Si 2.1486 -2.6632 1.3915
Si 4.9137 1.5001 1.5883
Si 2.1771 -2.9138 5.4820
Si 4.8371 1.5001 5.6236
Si 4.9137 -1.5001 1.5883
Si 7.5737 2.9138 1.7299
Si 4.8371 -1.5001 5.6236
Si 7.6022 2.6632 5.8203
Si 7.5737 -2.9138 1.7299
Si 7.6022 -2.6632 5.8203
O 1.2116 1.5566 2.0507
O 3.7273 5.7112 2.7239
O 2.9269 4.3843 5.6049
O 1.8127 2.3527 6.9864
O 0.7092 0.0000 4.6616
O 1.2116 -1.5566 2.0507
O 3.7168 2.5193 1.9802
O 3.4446 1.9526 4.9263
O 6.0235 5.7112 4.4880
O 1.8127 -2.3527 6.9864
O 5.0669 1.4151 0.0000
O 6.8239 4.3843 1.6069
O 4.5351 0.0000 2.1524
O 6.0340 2.5193 5.2316
O 3.4446 -1.9526 4.9263
O 6.3062 1.9526 2.2855
O 3.7168 -2.5193 1.9802
O 5.2157 0.0000 5.0594
O 2.9269 -4.3843 5.6049
O 5.0669 -1.4151 0.0000
O 7.9381 2.3527 0.2254
O 3.7273 -5.7112 2.7239
O 6.3062 -1.9526 2.2855
O 6.0340 -2.5193 5.2316
O 8.5392 1.5566 5.1611
O 9.0416 0.0000 2.5502
O 7.9381 -2.3527 0.2254
O 6.8239 -4.3843 1.6069
O 6.0235 -5.7112 4.4880
O 8.5392 -1.5566 5.1611
```

## Properties
SG: C2/m, No. 12
Energy relative to the elements, uncorrected in eV per formula unit: -144.49
Crystal system: monoclinic

Record 18
A plane-wave DFT calculation with SCAN was carried out for a PBEsol-optimized structure of Li2CuW.

extended XYZ file:
```
4
Lattice="2.5132 0.0000 0.0000 0.0000 4.1124 0.0000 -1.0567 0.0000 5.3745" Properties=species:S:1:pos:R:3 pbc="T T T"
Li 0.0000 0.0000 0.0000
Li -0.1213 2.0562 4.2364
Cu 0.1884 0.0000 2.6691
W 1.4049 2.0562 1.6756
```

## Properties
SG: Pm, No. 6
ΔE_f in eV per atom: 0.379
Crystal system: monoclinic

Record 19
A plane-wave DFT calculation with SCAN was carried out for a PBEsol-optimized structure of Li2TiV3O8.

extended XYZ file:
```
56
Lattice="8.2049 0.0000 0.0000 0.0000 8.2049 0.0000 0.0000 0.0000 8.2049" Properties=species:S:1:pos:R:3 pbc="T T T"
Li 0.0439 0.0439 0.0439
Li 2.0434 2.0434 2.0434
Li 2.0590 6.1615 6.1459
Li 4.0585 8.1610 4.1464
Li 4.1464 4.0585 8.1610
Li 6.1459 2.0590 6.1615
Li 6.1615 6.1459 2.0590
Li 8.1610 4.1464 4.0585
Ti 0.9763 7.2286 3.1261
Ti 3.1261 0.9763 7.2286
Ti 5.0788 5.0788 5.0788
Ti 7.2286 3.1261 0.9763
V 1.0116 1.1044 5.1796
V 1.0772 3.0909 7.1005
V 1.1044 5.1796 1.0116
V 2.9980 3.0253 5.1141
V 3.0253 5.1141 2.9980
V 3.0909 7.1005 1.0772
V 5.1141 2.9980 3.0253
V 5.1796 1.0116 1.1044
V 5.2069 7.1278 7.1933
V 7.1005 1.0772 3.0909
V 7.1278 7.1933 5.2069
V 7.1933 5.2069 7.1278
O 0.8963 0.9638 3.1926
O 0.9099 7.3086 5.0663
O 0.9393 5.0418 7.2656
O 0.9638 3.1926 0.8963
O 1.0481 3.0543 5.1506
O 1.0897 5.2242 2.9630
O 1.1218 1.1394 7.1152
O 1.1394 7.1152 1.1218
O 2.9630 1.0897 5.2242
O 2.9807 7.0655 3.0127
O 3.0127 2.9807 7.0655
O 3.0543 5.1506 1.0481
O 3.1386 5.0123 4.9988
O 3.1631 3.1631 3.1631
O 3.1926 0.8963 0.9638
O 3.2061 7.2411 7.2950
O 4.9988 3.1386 5.0123
O 5.0123 4.9988 3.1386
O 5.0418 7.2656 0.9393
O 5.0663 0.9099 7.3086
O 5.1506 1.0481 3.0543
O 5.1922 7.0831 5.2419
O 5.2242 2.9630 1.0897
O 5.2419 5.1922 7.0831
O 7.0655 3.0127 2.9807
O 7.0831 5.2419 5.1922
O 7.1152 1.1218 1.1394
O 7.1568 7.1568 7.1568
O 7.2411 7.2950 3.2061
O 7.2656 0.9393 5.0418
O 7.2950 3.2061 7.2411
O 7.3086 5.0663 0.9099
```

## Properties
ΔE to the lowest computed polymorph in meV per atom: 1
SG: P2_13, No. 198
Energy relative to the elements, uncorrected in eV per formula unit: -38.67
Crystal system: cubic

Record 20
A plane-wave DFT calculation with SCAN was carried out for a PBEsol-optimized structure of InIr2Se.

extended XYZ file:
```
8
Lattice="5.9552 0.0000 0.0000 0.0000 7.1903 0.0000 0.0000 0.0000 3.0081" Properties=species:S:1:pos:R:3 pbc="T T T"
In 0.0000 0.0000 0.0000
In 2.9776 3.5952 0.0000
Ir 1.4888 1.7976 1.5041
Ir 1.4888 5.3928 1.5041
Ir 4.4664 1.7976 1.5041
Ir 4.4664 5.3928 1.5041
Se 0.0000 3.5952 0.0000
Se 2.9776 0.0000 0.0000
```

## Properties
ΔE to the lowest computed polymorph in meV per atom: 84
SG: Cmmm, No. 65
Energy relative to the elements, uncorrected in eV per formula unit: 1.44
Crystal system: orthorhombic